The following is a DFT calculation (PBE) of Na2Mg5Tl4 after structural relaxation.

The theoretical density comes out at 5.1 Mg/m³. The density of states at the Fermi level comes out at 0.46 states/eV/atom. As for the energy of formation: 0.01 eV/atom. As for the total magnetization: 0.000 μB per atom.

The structure belongs to space group Fmmm (No. 69); the cell edges are 6.289, 10.533 and 19.237 Å and the angles 90.00°, 90.00° and 90.00°. Symmetry generates all atoms from Na at (0.000, 0.000, 0.114), Mg at (0.000, 0.000, 0.500), Mg at (0.250, 0.250, 0.000), Mg at (0.250, 0.250, 0.250) and Tl at (0.000, 0.161, 0.371).